1.
{
  "formula": "CoCuBr2",
  "functional": "PBE",
  "state": "relaxed",
  "lattice_angstrom": [[4.132, 0.000, 0.000], [0.000, 6.184, 0.000], [0.000, 0.000, 7.538]],
  "species": ["Co", "Co", "Cu", "Cu", "Br", "Br", "Br", "Br"],
  "frac_coords": [[0.000, 0.000, 0.000], [0.500, 0.500, 0.000], [0.000, 0.500, 0.177], [0.500, 0.000, 0.177], [0.000, 0.000, 0.339], [0.000, 0.500, 0.825], [0.500, 0.000, 0.825], [0.500, 0.500, 0.339]]
}

2.
{
  "formula": "Pr2DyHoMg",
  "functional": "PBE",
  "state": "relaxed",
  "ef_ev_per_fu": 0.79,
  "lattice_angstrom": [[5.915, 0.000, 0.000], [0.000, 7.499, 0.000], [0.000, 0.000, 7.357]],
  "species": ["Pr", "Pr", "Pr", "Pr", "Dy", "Dy", "Ho", "Ho", "Mg", "Mg"],
  "frac_coords": [[0.250, 0.216, 0.191], [0.250, 0.784, 0.191], [0.750, 0.216, 0.809], [0.750, 0.784, 0.809], [0.250, 0.000, 0.647], [0.750, 0.000, 0.353], [0.250, 0.500, 0.871], [0.750, 0.500, 0.129], [0.000, 0.500, 0.500], [0.500, 0.500, 0.500]]
}

3.
{
  "formula": "Na2Mn2Au",
  "functional": "PBE",
  "state": "relaxed",
  "ef_ev_per_fu": 2.15,
  "lattice_angstrom": [[3.120, 0.000, 0.000], [0.000, 3.120, 0.000], [0.000, 0.000, 19.290]],
  "species": ["Na", "Na", "Na", "Na", "Mn", "Mn", "Mn", "Mn", "Au", "Au"],
  "frac_coords": [[0.000, 0.000, 0.109], [0.000, 0.000, 0.891], [0.500, 0.500, 0.391], [0.500, 0.500, 0.609], [0.000, 0.500, 0.250], [0.000, 0.500, 0.750], [0.500, 0.000, 0.250], [0.500, 0.000, 0.750], [0.000, 0.000, 0.500], [0.500, 0.500, 0.000]]
}

The calculation returns the following DFT total energy values, one per record and in order: -3.511, -3.908, -4.421 eV per atom.